(1)
Entry from Alexandria via LeMat-Bulk: an optimized crystal structure of Zr2AlGa2Rh5 (PBE).

Structure (CIF):
```
data_Zr2AlGa2Rh5
_chemical_formula_sum 'Zr4 Al2 Ga4 Rh10'
_cell_length_a 9.553
_cell_length_b 9.553
_cell_length_c 3.500
_cell_angle_alpha 90.00
_cell_angle_beta 90.00
_cell_angle_gamma 90.00
_symmetry_space_group_name_H-M 'P 4/m b m'
_symmetry_Int_Tables_number 127
_symmetry_space_group_name_Hall '-P 4 2ab'
loop_
_atom_site_label
_atom_site_fract_x
_atom_site_fract_y
_atom_site_fract_z
Zr1 0.173 0.327 0.000
Al1 0.000 0.000 0.000
Ga1 0.127 0.627 0.000
Rh1 0.000 0.500 0.500
Rh2 0.065 0.798 0.500
```

***

(2)
Entry from Alexandria via LeMat-Bulk: an optimized crystal structure of Zr2Al2GaRh5 (PBE).

Structure (CIF):
```
data_Zr2Al2GaRh5
_chemical_formula_sum 'Zr4 Al4 Ga2 Rh10'
_cell_length_a 9.625
_cell_length_b 9.625
_cell_length_c 3.424
_cell_angle_alpha 90.00
_cell_angle_beta 90.00
_cell_angle_gamma 90.00
_symmetry_space_group_name_H-M 'P 4/m b m'
_symmetry_Int_Tables_number 127
_symmetry_space_group_name_Hall '-P 4 2ab'
loop_
_atom_site_label
_atom_site_fract_x
_atom_site_fract_y
_atom_site_fract_z
Zr1 0.174 0.326 0.000
Al1 0.125 0.625 0.000
Ga1 0.000 0.000 0.000
Rh1 0.000 0.500 0.500
Rh2 0.067 0.797 0.500
```

***

(3)
# AlGa2Ru2 | Alexandria via LeMat-Bulk | PBE | optimized geometry
data_AlGa2Ru2
_chemical_formula_sum 'Al2 Ga4 Ru4'
_cell_length_a 4.109
_cell_length_b 4.109
_cell_length_c 10.037
_cell_angle_alpha 90.00
_cell_angle_beta 90.00
_cell_angle_gamma 90.00
_symmetry_space_group_name_H-M 'I 4/m m m'
_symmetry_Int_Tables_number 139
_symmetry_space_group_name_Hall '-I 4 2'
loop_
_atom_site_label
_atom_site_fract_x
_atom_site_fract_y
_atom_site_fract_z
Al1 0.000 0.000 0.000
Ga1 0.000 0.000 0.383
Ru1 0.000 0.500 0.250
# Relative energy among the computed polymorphs ... 563 meV per atom

***

(4)
# AlGa2Ru2 | Alexandria via LeMat-Bulk | PBE | optimized geometry
data_AlGa2Ru2
_chemical_formula_sum 'Al2 Ga4 Ru4'
_cell_length_a 6.967
_cell_length_b 6.967
_cell_length_c 3.042
_cell_angle_alpha 90.00
_cell_angle_beta 90.00
_cell_angle_gamma 90.00
_symmetry_space_group_name_H-M 'P 4/m b m'
_symmetry_Int_Tables_number 127
_symmetry_space_group_name_Hall '-P 4 2ab'
loop_
_atom_site_label
_atom_site_fract_x
_atom_site_fract_y
_atom_site_fract_z
Al1 0.000 0.000 0.000
Ga1 0.132 0.368 0.000
Ru1 0.167 0.667 0.500
# Relative energy among the computed polymorphs ... 110 meV per atom

***

(5)
Entry from Alexandria via LeMat-Bulk: an optimized crystal structure of AlGa2Ru (PBE).

Structure (CIF):
```
data_AlGa2Ru
_chemical_formula_sum 'Al4 Ga8 Ru4'
_cell_length_a 7.878
_cell_length_b 7.878
_cell_length_c 4.891
_cell_angle_alpha 90.00
_cell_angle_beta 90.00
_cell_angle_gamma 90.00
_symmetry_space_group_name_H-M 'I -4 2 d'
_symmetry_Int_Tables_number 122
_symmetry_space_group_name_Hall 'I -4 2bw'
loop_
_atom_site_label
_atom_site_fract_x
_atom_site_fract_y
_atom_site_fract_z
Al1 0.000 0.000 0.000
Ga1 0.168 0.250 0.625
Ru1 0.000 0.000 0.500
```

***

(6)
Entry from Alexandria via LeMat-Bulk: an optimized crystal structure of Al2GaRu (PBE).

Structure (CIF):
```
data_Al2GaRu
_chemical_formula_sum 'Al6 Ga3 Ru3'
_cell_length_a 2.9657
_cell_length_b 2.9657
_cell_length_c 24.9578
_cell_angle_alpha 90.00
_cell_angle_beta 90.00
_cell_angle_gamma 120.00
_symmetry_space_group_name_H-M 'R 3 m'
_symmetry_Int_Tables_number 160
_symmetry_space_group_name_Hall 'R 3 -2"'
loop_
_atom_site_label
_atom_site_fract_x
_atom_site_fract_y
_atom_site_fract_z
Al1 0.0000 0.0000 0.0000
Al2 0.0000 0.0000 0.1836
Ga1 0.0000 0.0000 0.4260
Ru1 0.0000 0.0000 0.5915
```

***

(7)
Entry from Alexandria via LeMat-Bulk: an optimized crystal structure of AlGa5Ru6 (PBE).

Structure (CIF):
```
data_AlGa5Ru6
_chemical_formula_sum 'Al2 Ga10 Ru12'
_cell_length_a 4.281
_cell_length_b 12.846
_cell_length_c 6.046
_cell_angle_alpha 90.00
_cell_angle_beta 90.00
_cell_angle_gamma 90.00
_symmetry_space_group_name_H-M 'C m m m'
_symmetry_Int_Tables_number 65
_symmetry_space_group_name_Hall '-C 2 2'
loop_
_atom_site_label
_atom_site_fract_x
_atom_site_fract_y
_atom_site_fract_z
Al1 0.000 0.000 0.000
Ga1 0.000 0.000 0.500
Ga2 0.000 0.334 0.500
Ga3 0.000 0.335 0.000
Ru1 0.000 0.167 0.249
Ru2 0.000 0.500 0.251
```

***

(8)
# AlGaRu3 | Alexandria via LeMat-Bulk | PBE | optimized geometry
data_AlGaRu3
_chemical_formula_sum 'Al1 Ga1 Ru3'
_cell_length_a 4.441
_cell_length_b 4.441
_cell_length_c 4.441
_cell_angle_alpha 90.00
_cell_angle_beta 90.00
_cell_angle_gamma 90.00
_symmetry_space_group_name_H-M 'P m -3 m'
_symmetry_Int_Tables_number 221
_symmetry_space_group_name_Hall '-P 4 2 3'
loop_
_atom_site_label
_atom_site_fract_x
_atom_site_fract_y
_atom_site_fract_z
Al1 0.000 0.000 0.000
Ga1 0.500 0.500 0.500
Ru1 0.000 0.000 0.500
# Relative energy among the computed polymorphs ... 0 meV per atom

***

(9)
Entry from Alexandria via LeMat-Bulk: an optimized crystal structure of Al6Ga2Ru (PBE).

Structure (CIF):
```
data_Al6Ga2Ru
_chemical_formula_sum 'Al6 Ga2 Ru1'
_cell_length_a 7.1520
_cell_length_b 7.1520
_cell_length_c 3.3197
_cell_angle_alpha 90.00
_cell_angle_beta 90.00
_cell_angle_gamma 120.00
_symmetry_space_group_name_H-M 'P -6 2 m'
_symmetry_Int_Tables_number 189
_symmetry_space_group_name_Hall 'P -6 -2'
loop_
_atom_site_label
_atom_site_fract_x
_atom_site_fract_y
_atom_site_fract_z
Al1 0.0000 0.3677 0.0000
Al2 0.0000 0.7290 0.5000
Ga1 0.3333 0.6667 0.5000
Ru1 0.0000 0.0000 0.0000
```

***

(10)
# Al2GaRu2 | Alexandria via LeMat-Bulk | PBE | optimized geometry
data_Al2GaRu2
_chemical_formula_sum 'Al4 Ga2 Ru4'
_cell_length_a 3.773
_cell_length_b 3.773
_cell_length_c 11.996
_cell_angle_alpha 90.00
_cell_angle_beta 90.00
_cell_angle_gamma 90.00
_symmetry_space_group_name_H-M 'I 4/m m m'
_symmetry_Int_Tables_number 139
_symmetry_space_group_name_Hall '-I 4 2'
loop_
_atom_site_label
_atom_site_fract_x
_atom_site_fract_y
_atom_site_fract_z
Al1 0.000 0.000 0.108
Ga1 0.000 0.000 0.500
Ru1 0.000 0.500 0.250
# Relative energy among the computed polymorphs ... 663 meV per atom

***

(11)
Entry from Alexandria via LeMat-Bulk: an optimized crystal structure of AlGaRu (PBE).

Structure (CIF):
```
data_AlGaRu
_chemical_formula_sum 'Al1 Ga1 Ru1'
_cell_length_a 4.1887
_cell_length_b 4.1887
_cell_length_c 2.9992
_cell_angle_alpha 90.00
_cell_angle_beta 90.00
_cell_angle_gamma 120.00
_symmetry_space_group_name_H-M 'P 3 m 1'
_symmetry_Int_Tables_number 156
loop_
_symmetry_equiv_pos_as_xyz
'x,y,z'
'-y,x-y,z'
'-x+y,-x,z'
'-y,-x,z'
'-x+y,y,z'
'x,x-y,z'
loop_
_atom_site_label
_atom_site_fract_x
_atom_site_fract_y
_atom_site_fract_z
Al1 0.0000 0.0000 0.0000
Ga1 0.6667 0.3333 0.5040
Ru1 0.3333 0.6667 0.4979
```

***

(12)
Entry from Alexandria via LeMat-Bulk: an optimized crystal structure of Al2GaRu (PBE).

Structure (CIF):
```
data_Al2GaRu
_chemical_formula_sum 'Al8 Ga4 Ru4'
_cell_length_a 7.825
_cell_length_b 7.825
_cell_length_c 4.961
_cell_angle_alpha 90.00
_cell_angle_beta 90.00
_cell_angle_gamma 90.00
_symmetry_space_group_name_H-M 'I -4 2 d'
_symmetry_Int_Tables_number 122
_symmetry_space_group_name_Hall 'I -4 2bw'
loop_
_atom_site_label
_atom_site_fract_x
_atom_site_fract_y
_atom_site_fract_z
Al1 0.166 0.250 0.125
Ga1 0.000 0.000 0.500
Ru1 0.000 0.000 0.000
```

***

Here are the calculated density of states at the Fermi level numbers, same order: 4.18, 3.69, 3.51, 2.53, 2.32, 2.93, 12.72, 4.58, 2.58, 4.90, 1.60, 2.17 (states/eV/f.u.).
Here are the calculated formation enthalpy at 0 K numbers, same order: -741, -776, 215, -238, 140, -211, -363, 960, -209, 183, -242, 93 (meV per atom).